Entry 1:
Material: Ga2Bi2Pb
Method: DFT, PBE
State: optimized geometry

Unit cell a=8.5301 b=8.5301 c=4.2545 alpha=104.25 beta=104.25 gamma=94.18
Last column: nearest neighbours and their distance in Å.
Sites, in units of the cell vectors:
Ga  0.0766  0.9234  0.7500  4 Ga 2.74-2.86
Ga  0.2154  0.7846  0.2500  2 Ga 2.74, 2 Bi 3.03, 2 Pb 3.04
Ga  0.7846  0.2154  0.7500  2 Ga 2.74, 2 Bi 3.03, 2 Pb 3.04
Ga  0.9234  0.0766  0.2500  4 Ga 2.74-2.86
Bi  0.1462  0.3472  0.9967  1 Ga 3.03, 2 Bi 3.29
Bi  0.3472  0.1462  0.4967  1 Ga 3.03, 2 Bi 3.29
Bi  0.6528  0.8538  0.5033  1 Ga 3.03, 2 Bi 3.29
Bi  0.8538  0.6528  0.0033  1 Ga 3.03, 2 Bi 3.29
Pb  0.3895  0.6105  0.7500  2 Ga 3.04
Pb  0.6105  0.3895  0.2500  2 Ga 3.04

space group = C2/c
magnetization = 0.0 μB per formula unit
energy relative to the lowest polymorph listed for this composition = 8 meV/atom
density of states at the Fermi level = 2.047 states/eV/f.u.
DFT formation energy = 91 meV/atom
calculated total energy = -34.133 eV/cell

***

Entry 2:
Material: Ga2Bi2Pb
Method: DFT, PBE
State: optimized geometry

Unit cell a=8.0452 b=8.0452 c=8.0452 alpha=147.80 beta=147.80 gamma=46.18
Last column: nearest neighbours and their distance in Å.
Sites, in units of the cell vectors:
Ga  0.2500  0.7500  0.5000  4 Bi 3.00, 4 Ga 3.16
Ga  0.7500  0.2500  0.5000  4 Bi 3.00, 4 Ga 3.16
Bi  0.1142  0.1142  0.0000  4 Ga 3.00
Bi  0.8858  0.8858  0.0000  4 Ga 3.00
Pb  0.5000  0.5000  0.0000  8 Bi 3.58

space group = I4/mmm
magnetization = 0.0 μB per formula unit
energy relative to the lowest polymorph listed for this composition = 6 meV/atom
density of states at the Fermi level = 2.286 states/eV/f.u.
DFT formation energy = 89 meV/atom
calculated total energy = -17.077 eV/cell

***

Entry 3:
Material: GaBiPb2
Method: DFT, PBE
State: optimized geometry

Unit cell a=5.0663 b=5.0663 c=4.6061 alpha=90.00 beta=90.00 gamma=90.00
Last column: nearest neighbours and their distance in Å.
Sites, in units of the cell vectors:
Ga  0.0000  0.0000  0.0000  8 Pb 3.42, 4 Bi 3.58
Bi  0.5000  0.5000  0.0000  8 Pb 3.42, 4 Ga 3.58
Pb  0.0000  0.5000  0.5000  4 Bi 3.42, 4 Ga 3.42, 4 Pb 3.58
Pb  0.5000  0.0000  0.5000  4 Bi 3.42, 4 Ga 3.42, 4 Pb 3.58

space group = P4/mmm
magnetization = 0.0 μB per formula unit
energy relative to the lowest polymorph listed for this composition = 0 meV/atom
density of states at the Fermi level = 1.533 states/eV/f.u.
DFT formation energy = 48 meV/atom
calculated total energy = -14.132 eV/cell

***

Entry 4:
Material: GaBi5Pb6
Method: DFT, PBE
State: optimized geometry

Unit cell a=10.1643 b=10.1643 c=5.9946 alpha=106.75 beta=106.75 gamma=126.72
Last column: nearest neighbours and their distance in Å.
Sites, in units of the cell vectors:
Ga  0.0000  0.0000  0.0000  8 Pb 3.43-3.54, 2 Bi 3.49
Bi  0.1556  0.8444  0.5000  8 Pb 3.34-3.71, 2 Bi 3.51
Bi  0.3239  0.6761  0.0000  8 Pb 3.39-3.63, 2 Bi 3.51
Bi  0.5000  0.5000  0.5000  8 Pb 3.44-3.46, 2 Ga 3.49
Bi  0.6761  0.3239  0.0000  8 Pb 3.39-3.63, 2 Bi 3.51
Bi  0.8444  0.1556  0.5000  8 Pb 3.34-3.71, 2 Bi 3.51
Pb  0.0861  0.4140  0.2500  7 Bi 3.39-3.71, 1 Ga 3.45, 2 Pb 3.49
Pb  0.2551  0.2551  0.7595  6 Bi 3.34-3.63, 2 Pb 3.42-3.56, 2 Ga 3.43-3.54
Pb  0.4140  0.0861  0.2500  7 Bi 3.39-3.71, 1 Ga 3.45, 2 Pb 3.49
Pb  0.5860  0.9139  0.7500  7 Bi 3.39-3.71, 1 Ga 3.45, 2 Pb 3.49
Pb  0.7449  0.7449  0.2405  6 Bi 3.34-3.63, 2 Pb 3.42-3.56, 2 Ga 3.43-3.54
Pb  0.9139  0.5860  0.7500  7 Bi 3.39-3.71, 1 Ga 3.45, 2 Pb 3.49

space group = C2/m
magnetization = 0.0 μB per formula unit
density of states at the Fermi level = 7.316 states/eV/f.u.
DFT formation energy = 59 meV/atom
calculated total energy = -43.972 eV/cell

***

Entry 5:
Material: GaBi2Pb2
Method: DFT, PBE
State: optimized geometry

Unit cell a=8.3223 b=8.3223 c=8.3223 alpha=146.28 beta=146.28 gamma=48.43
Last column: nearest neighbours and their distance in Å.
Sites, in units of the cell vectors:
Ga  0.0000  0.0000  0.0000  8 Bi 3.75
Bi  0.3978  0.3978  0.0000  1 Bi 3.10, 4 Pb 3.30
Bi  0.6022  0.6022  0.0000  1 Bi 3.10, 4 Pb 3.30
Pb  0.2500  0.7500  0.5000  4 Bi 3.30, 4 Pb 3.41
Pb  0.7500  0.2500  0.5000  4 Bi 3.30, 4 Pb 3.41

space group = I4/mmm
magnetization = 0.0 μB per formula unit
energy relative to the lowest polymorph listed for this composition = 155 meV/atom
density of states at the Fermi level = 3.270 states/eV/f.u.
DFT formation energy = 204 meV/atom
calculated total energy = -17.185 eV/cell

***

Entry 6:
Material: Ga3Bi3Pb5
Method: DFT, PBE
State: optimized geometry

Unit cell a=10.4932 b=10.4932 c=3.4230 alpha=90.00 beta=90.00 gamma=120.00
Last column: nearest neighbours and their distance in Å.
Sites, in units of the cell vectors:
Ga  0.0000  0.8531  0.0000  2 Ga 2.67, 2 Bi 2.93
Ga  0.1469  0.1469  0.0000  2 Ga 2.67, 2 Bi 2.93
Ga  0.8531  0.0000  0.0000  2 Ga 2.67, 2 Bi 2.93
Bi  0.0000  0.6261  0.5000  2 Ga 2.93
Bi  0.3739  0.3739  0.5000  2 Ga 2.93
Bi  0.6261  0.0000  0.5000  2 Ga 2.93
Pb  0.0000  0.3365  0.0000  2 Ga 3.07, 2 Pb 3.42
Pb  0.3333  0.6667  0.0000  5 Pb 3.42-3.48, 6 Bi 3.72
Pb  0.3365  0.0000  0.0000  2 Ga 3.07, 2 Pb 3.42
Pb  0.6635  0.6635  0.0000  2 Ga 3.07, 2 Pb 3.42
Pb  0.6667  0.3333  0.0000  5 Pb 3.42-3.48, 6 Bi 3.72

space group = P-62m
magnetization = 0.0 μB per formula unit
density of states at the Fermi level = 6.890 states/eV/f.u.
DFT formation energy = 144 meV/atom
calculated total energy = -37.677 eV/cell

***

Entry 7:
Material: Ga2Bi2Pb
Method: DFT, PBE
State: optimized geometry

Unit cell a=6.0405 b=6.0405 c=6.0405 alpha=124.86 beta=124.86 gamma=81.77
Last column: nearest neighbours and their distance in Å.
Sites, in units of the cell vectors:
Ga  0.1380  0.1380  0.0000  1 Ga 2.52
Ga  0.8620  0.8620  0.0000  1 Ga 2.52
Bi  0.2500  0.7500  0.5000  4 Ga 2.98
Bi  0.7500  0.2500  0.5000  4 Ga 2.98
Pb  0.5000  0.5000  0.0000  2 Ga 3.31, 8 Bi 3.61

space group = I4/mmm
magnetization = 0.0 μB per formula unit
energy relative to the lowest polymorph listed for this composition = 24 meV/atom
density of states at the Fermi level = 2.301 states/eV/f.u.
DFT formation energy = 108 meV/atom
calculated total energy = -16.985 eV/cell

***

Entry 8:
Material: GaBi3Pb12
Method: DFT, PBE
State: optimized geometry

Unit cell a=5.1084 b=5.1084 c=19.1227 alpha=90.00 beta=90.00 gamma=90.00
Last column: nearest neighbours and their distance in Å.
Sites, in units of the cell vectors:
Ga  0.0000  0.0000  0.0000  12 Pb 3.42-3.61
Bi  0.0000  0.0000  0.2445  12 Pb 3.50-3.61
Bi  0.0000  0.0000  0.5000  12 Pb 3.52-3.61
Bi  0.0000  0.0000  0.7555  12 Pb 3.50-3.61
Pb  0.0000  0.5000  0.1190  8 Pb 3.42-3.61, 2 Ga 3.42, 2 Bi 3.50
Pb  0.0000  0.5000  0.3733  8 Pb 3.51-3.61, 4 Bi 3.52-3.55
Pb  0.0000  0.5000  0.6267  8 Pb 3.51-3.61, 4 Bi 3.52-3.55
Pb  0.0000  0.5000  0.8810  8 Pb 3.42-3.61, 2 Ga 3.42, 2 Bi 3.50
Pb  0.5000  0.0000  0.1190  8 Pb 3.42-3.61, 2 Ga 3.42, 2 Bi 3.50
Pb  0.5000  0.0000  0.3733  8 Pb 3.51-3.61, 4 Bi 3.52-3.55
Pb  0.5000  0.0000  0.6267  8 Pb 3.51-3.61, 4 Bi 3.52-3.55
Pb  0.5000  0.0000  0.8810  8 Pb 3.42-3.61, 2 Ga 3.42, 2 Bi 3.50
Pb  0.5000  0.5000  0.0000  8 Pb 3.42, 4 Ga 3.61
Pb  0.5000  0.5000  0.2471  8 Pb 3.51-3.54, 4 Bi 3.61
Pb  0.5000  0.5000  0.5000  8 Pb 3.52, 4 Bi 3.61
Pb  0.5000  0.5000  0.7529  8 Pb 3.51-3.54, 4 Bi 3.61

space group = P4/mmm
magnetization = 0.0 μB per formula unit
density of states at the Fermi level = 7.748 states/eV/f.u.
DFT formation energy = 27 meV/atom
calculated total energy = -58.741 eV/cell

***

Entry 9:
Material: GaBi2Pb2
Method: DFT, PBE
State: optimized geometry

Unit cell a=8.2885 b=8.2885 c=4.7052 alpha=90.00 beta=90.00 gamma=90.00
Last column: nearest neighbours and their distance in Å.
Sites, in units of the cell vectors:
Ga  0.0000  0.0000  0.0000  4 Bi 3.21
Ga  0.5000  0.5000  0.0000  4 Bi 3.21
Bi  0.1391  0.3609  0.0000  2 Ga 3.21, 1 Bi 3.26, 6 Pb 3.31-3.44
Bi  0.3609  0.8609  0.0000  2 Ga 3.21, 1 Bi 3.26, 6 Pb 3.31-3.44
Bi  0.6391  0.1391  0.0000  2 Ga 3.21, 1 Bi 3.26, 6 Pb 3.31-3.44
Bi  0.8609  0.6391  0.0000  2 Ga 3.21, 1 Bi 3.26, 6 Pb 3.31-3.44
Pb  0.1626  0.6626  0.5000  6 Bi 3.31-3.44
Pb  0.3374  0.1626  0.5000  6 Bi 3.31-3.44
Pb  0.6626  0.8374  0.5000  6 Bi 3.31-3.44
Pb  0.8374  0.3374  0.5000  6 Bi 3.31-3.44

space group = P4/mbm
magnetization = 0.0 μB per formula unit
energy relative to the lowest polymorph listed for this composition = 95 meV/atom
density of states at the Fermi level = 4.109 states/eV/f.u.
DFT formation energy = 144 meV/atom
calculated total energy = -34.970 eV/cell

***

Entry 10:
Material: GaBi2Pb6
Method: DFT, PBE
State: optimized geometry

Unit cell a=6.1345 b=9.4254 c=11.5649 alpha=90.00 beta=120.89 gamma=90.00
Last column: nearest neighbours and their distance in Å.
Sites, in units of the cell vectors:
Ga  0.0000  0.0000  0.0000  4 Pb 3.04-3.07
Ga  0.0000  0.5000  0.5000  4 Pb 3.04-3.07
Bi  0.1794  0.0901  0.7754  9 Pb 3.29-3.59, 1 Ga 3.41
Bi  0.1794  0.4099  0.2754  9 Pb 3.29-3.59, 1 Ga 3.41
Bi  0.8206  0.5901  0.7246  9 Pb 3.29-3.59, 1 Ga 3.41
Bi  0.8206  0.9099  0.2246  9 Pb 3.29-3.59, 1 Ga 3.41
Pb  0.0446  0.1807  0.4648  1 Ga 3.07, 1 Bi 3.36, 2 Pb 3.36-3.41
Pb  0.0446  0.3193  0.9648  1 Ga 3.07, 1 Bi 3.36, 2 Pb 3.36-3.41
Pb  0.3546  0.7203  0.4262  3 Bi 3.29-3.39, 4 Pb 3.36-3.54, 1 Ga 3.42
Pb  0.3546  0.7797  0.9262  3 Bi 3.29-3.39, 4 Pb 3.36-3.54, 1 Ga 3.42
Pb  0.3938  0.0517  0.2946  1 Ga 3.04, 1 Bi 3.39
Pb  0.3938  0.4483  0.7946  1 Ga 3.04, 1 Bi 3.39
Pb  0.6062  0.5517  0.2054  1 Ga 3.04, 1 Bi 3.39
Pb  0.6062  0.9483  0.7054  1 Ga 3.04, 1 Bi 3.39
Pb  0.6454  0.2203  0.0738  3 Bi 3.29-3.39, 4 Pb 3.36-3.54, 1 Ga 3.42
Pb  0.6454  0.2797  0.5738  3 Bi 3.29-3.39, 4 Pb 3.36-3.54, 1 Ga 3.42
Pb  0.9554  0.6807  0.0352  1 Ga 3.07, 1 Bi 3.36, 2 Pb 3.36-3.41
Pb  0.9554  0.8193  0.5352  1 Ga 3.07, 1 Bi 3.36, 2 Pb 3.36-3.41

space group = P2_1/c
magnetization = 0.0 μB per formula unit
energy relative to the lowest polymorph listed for this composition = 2 meV/atom
density of states at the Fermi level = 3.138 states/eV/f.u.
DFT formation energy = 59 meV/atom
calculated total energy = -65.008 eV/cell